Density functional theory data (GGA-PBE) for Sm2YZrN4 after structural relaxation.

a = 3.454 Å, b = 5.990 Å, c = 6.022 Å
α = 109.17°, β = 90.00°, γ = 90.00°
Element x y z (fractional)
N 0.500 0.233 0.229
N 0.000 0.243 0.766
Sm 0.500 0.000 0.500
N 0.500 0.767 0.771
Y 0.500 0.500 0.000
Zr 0.000 0.000 0.000
N 0.000 0.757 0.234
Sm 0.000 0.500 0.500

Computed properties:
Mass density, kg/m3: 7576
Energy relative to the elements, uncorrected, eV per atom: -1.61
Calculated total energy, Ry/atom: -0.6487

Density functional theory data (GGA-PBE) for La2Ga7Pd12 after structural relaxation.

a = 4.112 Å, b = 10.114 Å, c = 10.114 Å
α = 120.00°, β = 90.00°, γ = 90.00°
Element x y z (fractional)
Pd 0.500 0.698 0.093
Pd 0.500 0.536 0.759
Ga 0.000 0.711 0.923
Pd 0.500 0.394 0.302
Ga 0.000 0.212 0.289
Ga 0.500 0.934 0.358
Pd 0.000 0.929 0.201
Pd 0.000 0.272 0.071
La 0.000 0.667 0.333
Pd 0.000 0.473 0.524
Pd 0.500 0.907 0.606
Pd 0.000 0.476 0.950
La 0.500 0.000 0.000
Ga 0.500 0.424 0.066
Ga 0.500 0.642 0.576
Pd 0.000 0.799 0.728
Ga 0.000 0.333 0.667
Pd 0.000 0.050 0.527
Pd 0.500 0.241 0.777
Pd 0.500 0.223 0.464
Ga 0.000 0.077 0.788

Computed properties:
Mass density, kg/m3: 9311
Calculated total energy, Ry/atom: -0.3808
Energy of formation from the pure elements, meV/atom: -735

Density functional theory data (GGA-PBE) for Sr2Cu4As3Pd after structural relaxation.

a = 4.290 Å, b = 4.290 Å, c = 10.230 Å
α = 90.00°, β = 90.00°, γ = 90.00°
Element x y z (fractional)
Sr 0.500 0.000 0.250
Cu 0.000 0.500 0.368
As 0.000 0.000 0.500
Cu 0.000 0.000 0.000
As 0.000 0.500 0.131
Sr 0.000 0.500 0.750
Cu 0.500 0.500 0.000
Pd 0.500 0.500 0.500
As 0.500 0.000 0.869
Cu 0.500 0.000 0.632

Computed properties:
Mass density, kg/m3: 6708
Calculated total energy, Ry/atom: -0.3241
Energy of formation from the pure elements, meV/atom: -521

Density functional theory data (GGA-PBE) for Ac3Sb2Pd6Pb after structural relaxation.

a = 5.931 Å, b = 5.931 Å, c = 10.099 Å
α = 90.00°, β = 90.00°, γ = 120.00°
Element x y z (fractional)
Pd 0.831 0.662 0.715
Pd 0.831 0.169 0.715
Pd 0.338 0.169 0.715
Ac 0.667 0.333 0.371
Sb 0.667 0.333 0.920
Pd 0.169 0.831 0.285
Pd 0.662 0.831 0.285
Ac 0.000 0.000 0.000
Pd 0.169 0.338 0.285
Sb 0.333 0.667 0.080
Ac 0.333 0.667 0.629
Pb 0.000 0.000 0.500

Computed properties:
Mass density, kg/m3: 9554
Energy relative to the elements, uncorrected, eV per atom: -0.74
Calculated total energy, Ry/atom: -0.3939

Density functional theory data (GGA-PBE) for Zr2B2Pb after structural relaxation.

a = 4.261 Å, b = 4.261 Å, c = 5.608 Å
α = 67.67°, β = 67.67°, γ = 90.00°
Element x y z (fractional)
B 0.589 0.589 0.822
B 0.411 0.411 0.178
Zr 0.750 0.250 0.500
Zr 0.250 0.750 0.500
Pb 0.000 0.000 0.000

Computed properties:
Mass density, kg/m3: 7953
Distance to the lowest polymorph of the same formula, eV per formula unit: 1.80
Calculated total energy, Ry/atom: -0.4879
Energy of formation from the pure elements, meV/atom: 194

Density functional theory data (GGA-PBE) for BaCd2Pd2 after structural relaxation.

a = 4.534 Å, b = 4.534 Å, c = 6.833 Å
α = 70.63°, β = 70.63°, γ = 90.00°
Element x y z (fractional)
Ba 0.000 0.000 0.000
Pd 0.388 0.388 0.224
Cd 0.250 0.750 0.500
Pd 0.612 0.612 0.776
Cd 0.750 0.250 0.500

Computed properties:
Mass density, kg/m3: 7698
Distance to the lowest polymorph of the same formula, eV per formula unit: 0.02
Calculated total energy, Ry/atom: -0.2422
Energy of formation from the pure elements, meV/atom: -467